No. 1
The following is a PBE calculation of a geometry-optimized KZn2Cl structure, from Alexandria.

Results
Calculated volume, Å³/cell: 110.8
Uncorrected formation energy, eV per atom: -0.57
Relative energy among the computed polymorphs, kJ/mol of atoms: 1.36

Cell lengths 3.896, 3.896, 7.303 Å; angles 90.00, 90.00, 90.00 degrees
Sites, in units of the cell vectors:
K 0.000 0.000 0.000
Zn 0.000 0.000 0.457
Zn 0.500 0.500 0.458
Cl 0.500 0.500 0.835

=====

No. 2
The following is a PBE calculation of a geometry-optimized KZn2Cl structure, from Alexandria.

Results
Calculated volume, Å³/cell: 248.8
Uncorrected formation energy, eV per atom: -0.37
Relative energy among the computed polymorphs, kJ/mol of atoms: 20.58

Cell lengths 7.158, 7.158, 7.158 Å; angles 99.50, 99.50, 132.05 degrees
Sites, in units of the cell vectors:
K 0.000 0.000 0.000
K 0.750 0.250 0.500
Zn 0.150 0.125 0.525
Zn 0.375 0.850 0.975
Zn 0.600 0.625 0.475
Zn 0.875 0.400 0.025
Cl 0.250 0.750 0.500
Cl 0.500 0.500 0.000

=====

No. 3
The following is a PBE calculation of a geometry-optimized K3Zn5Cl12 structure, from Alexandria.

Results
Calculated volume, Å³/cell: 2135.3
Uncorrected formation energy, eV per atom: -1.29

Cell lengths 14.050, 14.050, 14.050 Å; angles 109.47, 109.47, 109.47 degrees
Sites, in units of the cell vectors:
K 0.125 0.250 0.375
K 0.125 0.375 0.750
K 0.250 0.375 0.125
K 0.250 0.875 0.625
K 0.375 0.125 0.250
K 0.375 0.750 0.125
K 0.625 0.250 0.875
K 0.625 0.875 0.750
K 0.750 0.125 0.375
K 0.750 0.625 0.875
K 0.875 0.625 0.250
K 0.875 0.750 0.625
Zn 0.000 0.000 0.000
Zn 0.000 0.000 0.500
Zn 0.000 0.500 0.000
Zn 0.000 0.500 0.500
Zn 0.125 0.750 0.875
Zn 0.125 0.875 0.250
Zn 0.250 0.125 0.875
Zn 0.250 0.625 0.375
Zn 0.375 0.250 0.625
Zn 0.375 0.625 0.750
Zn 0.500 0.000 0.000
Zn 0.500 0.000 0.500
Zn 0.500 0.500 0.000
Zn 0.500 0.500 0.500
Zn 0.625 0.375 0.250
Zn 0.625 0.750 0.375
Zn 0.750 0.375 0.625
Zn 0.750 0.875 0.125
Zn 0.875 0.125 0.750
Zn 0.875 0.250 0.125
Cl 0.013 0.197 0.112
Cl 0.013 0.316 0.901
Cl 0.085 0.697 0.684
Cl 0.085 0.888 0.401
Cl 0.099 0.612 0.415
Cl 0.099 0.987 0.684
Cl 0.112 0.013 0.197
Cl 0.112 0.599 0.915
Cl 0.184 0.197 0.585
Cl 0.184 0.487 0.599
Cl 0.197 0.112 0.013
Cl 0.197 0.585 0.184
Cl 0.303 0.316 0.915
Cl 0.303 0.487 0.388
Cl 0.316 0.901 0.013
Cl 0.316 0.915 0.303
Cl 0.388 0.303 0.487
Cl 0.388 0.585 0.901
Cl 0.401 0.085 0.888
Cl 0.401 0.816 0.513
Cl 0.415 0.099 0.612
Cl 0.415 0.816 0.803
Cl 0.487 0.388 0.303
Cl 0.487 0.599 0.184
Cl 0.513 0.401 0.816
Cl 0.513 0.612 0.697
Cl 0.585 0.184 0.197
Cl 0.585 0.901 0.388
Cl 0.599 0.184 0.487
Cl 0.599 0.915 0.112
Cl 0.612 0.415 0.099
Cl 0.612 0.697 0.513
Cl 0.684 0.085 0.697
Cl 0.684 0.099 0.987
Cl 0.697 0.513 0.612
Cl 0.697 0.684 0.085
Cl 0.803 0.415 0.816
Cl 0.803 0.888 0.987
Cl 0.816 0.513 0.401
Cl 0.816 0.803 0.415
Cl 0.888 0.401 0.085
Cl 0.888 0.987 0.803
Cl 0.901 0.013 0.316
Cl 0.901 0.388 0.585
Cl 0.915 0.112 0.599
Cl 0.915 0.303 0.316
Cl 0.987 0.684 0.099
Cl 0.987 0.803 0.888